1.
Material: PrSnIr
Method: DFT, PBE
State: optimized geometry

The structure in CIF format:
```
data_PrSnIr
_chemical_formula_sum 'Pr1 Sn1 Ir1'
_space_group_name_H-M_alt 'P 1'
_space_group_IT_number 1
_space_group_name_Hall 'P 1'
_cell_length_a 4.6385
_cell_length_b 4.6385
_cell_length_c 3.8888
_cell_angle_alpha 90.00
_cell_angle_beta 90.00
_cell_angle_gamma 120.00
loop_
_atom_site_label
_atom_site_fract_x
_atom_site_fract_y
_atom_site_fract_z
Pr1 0.0000 0.0000 0.0000
Sn1 0.6667 0.3333 0.5000
Ir1 0.3333 0.6667 0.5000
```

Space-group type: P-6m2 (187)
Total moment, μB/f.u.: 0.000
E_form, eV per atom: -0.592
Volume, Å³ per cell: 72
Raw total energy, eV/cell: -19.4

---

2.
Material: P4PtRh
Method: DFT, PBE
State: optimized geometry

The structure in CIF format:
```
data_P4PtRh
_chemical_formula_sum 'P4 Pt1 Rh1'
_space_group_name_H-M_alt 'P 1'
_space_group_IT_number 1
_space_group_name_Hall 'P 1'
_cell_length_a 4.9838
_cell_length_b 4.9838
_cell_length_c 4.9838
_cell_angle_alpha 60.00
_cell_angle_beta 60.00
_cell_angle_gamma 60.00
loop_
_atom_site_label
_atom_site_fract_x
_atom_site_fract_y
_atom_site_fract_z
P1 0.1250 0.1250 0.1250
P2 0.1250 0.1250 0.6249
P3 0.1250 0.6249 0.1250
P4 0.6249 0.1250 0.1250
Pt1 0.7500 0.7500 0.7500
Rh1 0.5000 0.5000 0.5000
```

Space-group type: F-43m (216)
Total moment, μB/f.u.: 0.000
E_form, eV per atom: 0.652
Volume, Å³ per cell: 88
Raw total energy, eV/cell: -31.1

---

What is the formula in the first record? PrSnIr